Computed, not measured: crystalline TcMoP2O at its relaxed geometry at the GGA+U level of DFT.

Values from the calculation:
N(E_F) = 2.5 states/eV per cell
Distance to the lowest polymorph of the same formula = 0.000 eV per atom
Raw total energy = -6.5190 eV per atom
Spin magnetization = 4.13 μB per formula unit
Symmetry = P4/mmm (123)
Volume = 85.4 Å³ per cell

Cell lengths 4.8118, 4.8118, 3.6879 Å; angles 90.00, 90.00, 90.00 degrees
Positions (direct):
Tc (0.0000, 0.0000, 0.0000)
Mo (0.5000, 0.5000, 0.5000)
P (0.0000, 0.5000, 0.0000)
P (0.5000, 0.0000, 0.0000)
O (0.0000, 0.0000, 0.5000)